(P)
Below is an optimized crystal structure of VTc3Br, with properties calculated at the PBE level.

Values from the calculation:
* space-group type: Pm-3m (221)
* ρ: 7.7 g cm⁻³
* DOS at the Fermi energy: 7.190 states/eV/f.u.
* M_tot: 1.12 μB/cell

a = 4.5153 Å, b = 4.5153 Å, c = 4.5153 Å
α = 90.00°, β = 90.00°, γ = 90.00°
With the nearest neighbours (Å) after each atom.
Atoms (fractional coordinates):
V 0.0000 0.0000 0.0000  12 Tc 3.19
Tc 0.0000 0.5000 0.5000  2 Br 2.26
Tc 0.5000 0.0000 0.5000  2 Br 2.26
Tc 0.5000 0.5000 0.0000  2 Br 2.26
Br 0.5000 0.5000 0.5000  6 Tc 2.26


(Q)
Below is an optimized crystal structure of VTc3Br, with properties calculated at the PBE level.

Values from the calculation:
* space-group type: Pm-3m (221)
* ρ: 7.3 g cm⁻³
* DOS at the Fermi energy: 6.206 states/eV/f.u.
* M_tot: 3.18 μB/cell

a = 4.5890 Å, b = 4.5890 Å, c = 4.5890 Å
α = 90.00°, β = 90.00°, γ = 90.00°
With the nearest neighbours (Å) after each atom.
Atoms (fractional coordinates):
V 0.0000 0.0000 0.0000  6 Tc 2.29
Tc 0.0000 0.0000 0.5000  2 V 2.29
Tc 0.0000 0.5000 0.0000  2 V 2.29
Tc 0.5000 0.0000 0.0000  2 V 2.29
Br 0.5000 0.5000 0.5000  12 Tc 3.24


Most stable one: (Q), least stable one: (P).


(P)
Below is an optimized crystal structure of TcWBr2, with properties calculated at the PBE level.

Values from the calculation:
* space-group type: R-3m (166)
* ρ: 10.0 g cm⁻³
* DOS at the Fermi energy: 3.933 states/eV/f.u.
* M_tot: 0.62 μB/cell

a = 8.9476 Å, b = 8.9476 Å, c = 8.9476 Å
α = 20.01°, β = 20.01°, γ = 20.01°
With the nearest neighbours (Å) after each atom.
Atoms (fractional coordinates):
Tc 0.0000 0.0000 0.0000  2 Br 2.44
W 0.5000 0.5000 0.5000  6 Br 2.65
Br 0.0927 0.0927 0.0927  1 Tc 2.44, 3 W 2.65
Br 0.9073 0.9073 0.9073  1 Tc 2.44, 3 W 2.65


(Q)
Below is an optimized crystal structure of TcWBr2, with properties calculated at the PBE level.

Values from the calculation:
* space-group type: Cmmm (65)
* ρ: 9.6 g cm⁻³
* DOS at the Fermi energy: 3.634 states/eV/f.u.
* M_tot: 2.65 μB/cell

a = 3.1995 Å, b = 3.1995 Å, c = 9.0613 Å
α = 90.00°, β = 90.00°, γ = 124.83°
With the nearest neighbours (Å) after each atom.
Atoms (fractional coordinates):
Tc 0.0000 0.0000 0.0000  4 Br 2.75, 2 Tc 2.96
W 0.0000 0.0000 0.5000  4 Br 2.66, 2 W 2.96
Br 0.5000 0.5000 0.2559  2 W 2.66, 2 Tc 2.75, 2 Br 2.96
Br 0.5000 0.5000 0.7441  2 W 2.66, 2 Tc 2.75, 2 Br 2.96


Most stable one: (P), least stable one: (Q).